## Pm8NiPt3I4 (PBE-GGA)

Data for crystalline Pm8NiPt3I4 at its relaxed geometry.

The structure in POSCAR format:
```
Pm8NiPt3I4
1.0
-5.430 5.833 2.791
-5.643 -6.801 3.234
7.969 -0.032 2.797
Pm I Pt Ni
8 4 3 1
Direct
0.776 0.316 0.040
0.729 0.687 0.458
0.736 0.684 0.960
0.264 0.316 0.040
0.271 0.313 0.542
0.224 0.684 0.960
0.776 0.316 0.552
0.224 0.684 0.448
0.500 0.000 0.500
0.000 0.000 0.000
0.000 0.000 0.500
0.500 0.000 0.000
0.500 0.500 0.500
0.000 0.500 0.500
0.500 0.500 0.000
0.000 0.500 0.000
```

Properties
E_form (uncorrected)   -1.009 eV/atom
SG   R-3m
Magnetic moment   0.000 Bohr magnetons per cell